No. 1
Compound: La3CuH
Source: Alexandria via LeMat-Bulk
Functional: GGA-PBEsol
Structure: optimized geometry

```
data_La3CuH
_cell_length_a 4.8842
_cell_length_b 4.8842
_cell_length_c 4.8842
_cell_angle_alpha 90.00
_cell_angle_beta 90.00
_cell_angle_gamma 90.00
_symmetry_space_group_name_H-M 'P m -3 m'
_symmetry_Int_Tables_number 221
_symmetry_space_group_name_Hall '-P 4 2 3'
loop_
_atom_site_label
_atom_site_type_symbol
_atom_site_fract_x
_atom_site_fract_y
_atom_site_fract_z
_atom_site_occupancy
La1 La 0.0000 0.0000 0.5000 1
Cu1 Cu 0.5000 0.5000 0.5000 1
H1 H 0.0000 0.0000 0.0000 1
```

Properties
* total moment: 0.00 μB per formula unit
* DOS at the Fermi energy: 6.8 states/eV/f.u.
* calculated total energy: -4.74 eV/atom
* calculated volume: 116.5 Å³ per cell


No. 2
Compound: Tl2ZnP4H8O16
Source: Alexandria via LeMat-Bulk
Functional: GGA-PBEsol
Structure: optimized geometry

```
data_Tl2ZnP4H8O16
_cell_length_a 6.9687
_cell_length_b 7.4084
_cell_length_c 7.5414
_cell_angle_alpha 80.56
_cell_angle_beta 73.43
_cell_angle_gamma 86.54
_symmetry_space_group_name_H-M 'P -1'
_symmetry_Int_Tables_number 2
loop_
_symmetry_equiv_pos_as_xyz
'x,y,z'
'-x,-y,-z'
loop_
_atom_site_label
_atom_site_type_symbol
_atom_site_fract_x
_atom_site_fract_y
_atom_site_fract_z
_atom_site_occupancy
Tl1 Tl 0.1215 0.2270 0.3070 1
Zn1 Zn 0.5000 0.0000 0.5000 1
P1 P 0.2547 0.3003 0.7595 1
P2 P 0.3299 0.7655 0.2388 1
H1 H 0.0651 0.7681 0.0746 1
H2 H 0.2613 0.5373 0.4837 1
H3 H 0.3761 0.8109 0.8532 1
H4 H 0.3899 0.6734 0.7050 1
O1 O 0.0727 0.2829 0.9361 1
O2 O 0.2437 0.5751 0.3412 1
O3 O 0.2465 0.8288 0.0732 1
O4 O 0.2589 0.1595 0.6341 1
O5 O 0.2791 0.4980 0.6575 1
O6 O 0.3033 0.8978 0.3779 1
O7 O 0.4339 0.2623 0.8586 1
O8 O 0.4518 0.7847 0.7250 1
```

Properties
* total moment: 0.00 μB per formula unit
* DOS at the Fermi energy: 0.0 states/eV/f.u.
* calculated total energy: -6.16 eV/atom
* calculated volume: 368.1 Å³ per cell


No. 3
Compound: ScMoCl2
Source: Alexandria via LeMat-Bulk
Functional: GGA-PBEsol
Structure: optimized geometry

```
data_ScMoCl2
_cell_length_a 4.3401
_cell_length_b 4.3401
_cell_length_c 3.1754
_cell_angle_alpha 90.00
_cell_angle_beta 90.00
_cell_angle_gamma 90.00
_symmetry_space_group_name_H-M 'P 4/m m m'
_symmetry_Int_Tables_number 123
_symmetry_space_group_name_Hall '-P 4 2'
loop_
_atom_site_label
_atom_site_type_symbol
_atom_site_fract_x
_atom_site_fract_y
_atom_site_fract_z
_atom_site_occupancy
Sc1 Sc 0.0000 0.0000 0.0000 1
Mo1 Mo 0.5000 0.5000 0.0000 1
Cl1 Cl 0.0000 0.5000 0.5000 1
```

Properties
* total moment: 0.00 μB per formula unit
* DOS at the Fermi energy: 3.7 states/eV/f.u.
* calculated total energy: -5.74 eV/atom
* energy above the lowest structure with this stoichiometry: 0.502 eV/atom
* energy relative to the elements, uncorrected: -0.1462 eV per atom
* calculated volume: 59.8 Å³ per cell


No. 4
Compound: YIn2Co
Source: Alexandria via LeMat-Bulk
Functional: GGA-PBEsol
Structure: optimized geometry

```
data_YIn2Co
_cell_length_a 3.8750
_cell_length_b 4.7660
_cell_length_c 8.7334
_cell_angle_alpha 90.00
_cell_angle_beta 90.00
_cell_angle_gamma 90.00
_symmetry_space_group_name_H-M 'I m m 2'
_symmetry_Int_Tables_number 44
loop_
_symmetry_equiv_pos_as_xyz
'x,y,z'
'-x,-y,z'
'-x,y,z'
'x,-y,z'
'x+1/2,y+1/2,z+1/2'
'-x+1/2,-y+1/2,z+1/2'
'-x+1/2,y+1/2,z+1/2'
'x+1/2,-y+1/2,z+1/2'
loop_
_atom_site_label
_atom_site_type_symbol
_atom_site_fract_x
_atom_site_fract_y
_atom_site_fract_z
_atom_site_occupancy
Y1 Y 0.0000 0.0000 0.0000 1
In1 In 0.0000 0.0000 0.4429 1
In2 In 0.0000 0.5000 0.2203 1
Co1 Co 0.0000 0.5000 0.7253 1
```

Properties
* total moment: 0.34 μB per formula unit
* DOS at the Fermi energy: 3.0 states/eV/f.u.
* calculated total energy: -5.17 eV/atom
* calculated volume: 161.3 Å³ per cell


No. 5
Compound: ZrIn3
Source: Alexandria via LeMat-Bulk
Functional: GGA-PBEsol
Structure: optimized geometry

```
data_ZrIn3
_cell_length_a 3.2813
_cell_length_b 3.2813
_cell_length_c 9.9992
_cell_angle_alpha 90.00
_cell_angle_beta 90.00
_cell_angle_gamma 120.00
_symmetry_space_group_name_H-M 'P -6 m 2'
_symmetry_Int_Tables_number 187
_symmetry_space_group_name_Hall 'P -6 2'
loop_
_atom_site_label
_atom_site_type_symbol
_atom_site_fract_x
_atom_site_fract_y
_atom_site_fract_z
_atom_site_occupancy
Zr1 Zr 0.0000 0.0000 0.0000 1
In1 In 0.0000 0.0000 0.5000 1
In2 In 0.6667 0.3333 0.2410 1
```

Properties
* total moment: 0.00 μB per formula unit
* DOS at the Fermi energy: 3.3 states/eV/f.u.
* calculated total energy: -4.56 eV/atom
* calculated volume: 93.2 Å³ per cell


No. 6
Compound: MnNiMo2
Source: Alexandria via LeMat-Bulk
Functional: GGA-PBEsol
Structure: optimized geometry

```
data_MnNiMo2
_cell_length_a 3.7731
_cell_length_b 3.7731
_cell_length_c 7.1730
_cell_angle_alpha 90.00
_cell_angle_beta 90.00
_cell_angle_gamma 90.00
_symmetry_space_group_name_H-M 'I 4/m m m'
_symmetry_Int_Tables_number 139
_symmetry_space_group_name_Hall '-I 4 2'
loop_
_atom_site_label
_atom_site_type_symbol
_atom_site_fract_x
_atom_site_fract_y
_atom_site_fract_z
_atom_site_occupancy
Mn1 Mn 0.0000 0.0000 0.0000 1
Ni1 Ni 0.0000 0.0000 0.5000 1
Mo1 Mo 0.0000 0.5000 0.2500 1
```

Properties
* total moment: 0.00 μB per formula unit
* DOS at the Fermi energy: 3.5 states/eV/f.u.
* calculated total energy: -9.79 eV/atom
* energy above the lowest structure with this stoichiometry: 0.000 eV/atom
* calculated volume: 102.1 Å³ per cell


No. 7
Compound: LiSiAg
Source: Alexandria via LeMat-Bulk
Functional: GGA-PBEsol
Structure: optimized geometry

```
data_LiSiAg
_cell_length_a 5.7197
_cell_length_b 5.7197
_cell_length_c 5.7197
_cell_angle_alpha 90.00
_cell_angle_beta 90.00
_cell_angle_gamma 90.00
_symmetry_space_group_name_H-M 'F -4 3 m'
_symmetry_Int_Tables_number 216
_symmetry_space_group_name_Hall 'F -4 2 3'
loop_
_atom_site_label
_atom_site_type_symbol
_atom_site_fract_x
_atom_site_fract_y
_atom_site_fract_z
_atom_site_occupancy
Li1 Li 0.0000 0.0000 0.0000 1
Si1 Si 0.2500 0.2500 0.7500 1
Ag1 Ag 0.2500 0.2500 0.2500 1
```

Properties
* total moment: 0.00 μB per formula unit
* DOS at the Fermi energy: 1.3 states/eV/f.u.
* calculated total energy: -3.43 eV/atom
* energy above the lowest structure with this stoichiometry: 0.389 eV/atom
* energy relative to the elements, uncorrected: 0.2417 eV per atom
* calculated volume: 187.1 Å³ per cell


No. 8
Compound: BaTiHN2
Source: Alexandria via LeMat-Bulk
Functional: GGA-PBEsol
Structure: optimized geometry

```
data_BaTiHN2
_cell_length_a 4.0039
_cell_length_b 4.0039
_cell_length_c 4.1507
_cell_angle_alpha 90.00
_cell_angle_beta 90.00
_cell_angle_gamma 90.00
_symmetry_space_group_name_H-M 'P 4/m m m'
_symmetry_Int_Tables_number 123
_symmetry_space_group_name_Hall '-P 4 2'
loop_
_atom_site_label
_atom_site_type_symbol
_atom_site_fract_x
_atom_site_fract_y
_atom_site_fract_z
_atom_site_occupancy
Ba1 Ba 0.0000 0.0000 0.0000 1
Ti1 Ti 0.5000 0.5000 0.5000 1
H1 H 0.5000 0.5000 0.0000 1
N1 N 0.0000 0.5000 0.5000 1
```

Properties
* total moment: 0.00 μB per formula unit
* DOS at the Fermi energy: 2.0 states/eV/f.u.
* calculated total energy: -6.95 eV/atom
* calculated volume: 66.5 Å³ per cell


No. 9
Compound: AlSnBiBr2
Source: Alexandria via LeMat-Bulk
Functional: GGA-PBEsol
Structure: optimized geometry

```
data_AlSnBiBr2
_cell_length_a 5.3745
_cell_length_b 5.3745
_cell_length_c 5.4746
_cell_angle_alpha 90.00
_cell_angle_beta 90.00
_cell_angle_gamma 90.00
_symmetry_space_group_name_H-M 'P 4/m m m'
_symmetry_Int_Tables_number 123
_symmetry_space_group_name_Hall '-P 4 2'
loop_
_atom_site_label
_atom_site_type_symbol
_atom_site_fract_x
_atom_site_fract_y
_atom_site_fract_z
_atom_site_occupancy
Al1 Al 0.0000 0.0000 0.0000 1
Sn1 Sn 0.0000 0.0000 0.5000 1
Bi1 Bi 0.5000 0.5000 0.0000 1
Br1 Br 0.0000 0.5000 0.5000 1
```

Properties
* total moment: 0.00 μB per formula unit
* DOS at the Fermi energy: 3.8 states/eV/f.u.
* calculated total energy: -3.01 eV/atom
* energy relative to the elements, uncorrected: 0.2615 eV per atom
* calculated volume: 158.1 Å³ per cell


No. 10
Compound: GaPdS3
Source: Alexandria via LeMat-Bulk
Functional: GGA-PBEsol
Structure: optimized geometry

```
data_GaPdS3
_cell_length_a 4.5741
_cell_length_b 4.5741
_cell_length_c 4.5741
_cell_angle_alpha 90.00
_cell_angle_beta 90.00
_cell_angle_gamma 90.00
_symmetry_space_group_name_H-M 'P m -3 m'
_symmetry_Int_Tables_number 221
_symmetry_space_group_name_Hall '-P 4 2 3'
loop_
_atom_site_label
_atom_site_type_symbol
_atom_site_fract_x
_atom_site_fract_y
_atom_site_fract_z
_atom_site_occupancy
Ga1 Ga 0.0000 0.0000 0.0000 1
Pd1 Pd 0.5000 0.5000 0.5000 1
S1 S 0.0000 0.0000 0.5000 1
```

Properties
* total moment: 0.00 μB per formula unit
* DOS at the Fermi energy: 7.2 states/eV/f.u.
* calculated total energy: -3.86 eV/atom
* energy relative to the elements, uncorrected: 0.6300 eV per atom
* calculated volume: 95.7 Å³ per cell


No. 11
Compound: Co2SbP
Source: Alexandria via LeMat-Bulk
Functional: GGA-PBEsol
Structure: optimized geometry

```
data_Co2SbP
_cell_length_a 3.5318
_cell_length_b 3.5318
_cell_length_c 8.5674
_cell_angle_alpha 90.00
_cell_angle_beta 90.00
_cell_angle_gamma 90.00
_symmetry_space_group_name_H-M 'I -4 m 2'
_symmetry_Int_Tables_number 119
_symmetry_space_group_name_Hall 'I -4 -2'
loop_
_atom_site_label
_atom_site_type_symbol
_atom_site_fract_x
_atom_site_fract_y
_atom_site_fract_z
_atom_site_occupancy
Co1 Co 0.0000 0.0000 0.0000 1
Co2 Co 0.0000 0.5000 0.2500 1
Sb1 Sb 0.0000 0.5000 0.7500 1
P1 P 0.0000 0.0000 0.5000 1
```

Properties
* total moment: 0.33 μB per formula unit
* DOS at the Fermi energy: 4.1 states/eV/f.u.
* calculated total energy: -6.23 eV/atom
* energy above the lowest structure with this stoichiometry: 0.511 eV/atom
* energy relative to the elements, uncorrected: 0.2227 eV per atom
* calculated volume: 106.9 Å³ per cell


No. 12
Compound: BaMoP3
Source: Alexandria via LeMat-Bulk
Functional: GGA-PBEsol
Structure: optimized geometry

```
data_BaMoP3
_cell_length_a 4.7564
_cell_length_b 4.7564
_cell_length_c 4.7564
_cell_angle_alpha 90.00
_cell_angle_beta 90.00
_cell_angle_gamma 90.00
_symmetry_space_group_name_H-M 'P m -3 m'
_symmetry_Int_Tables_number 221
_symmetry_space_group_name_Hall '-P 4 2 3'
loop_
_atom_site_label
_atom_site_type_symbol
_atom_site_fract_x
_atom_site_fract_y
_atom_site_fract_z
_atom_site_occupancy
Ba1 Ba 0.0000 0.0000 0.0000 1
Mo1 Mo 0.5000 0.5000 0.5000 1
P1 P 0.0000 0.5000 0.5000 1
```

Properties
* total moment: 0.00 μB per formula unit
* DOS at the Fermi energy: 1.8 states/eV/f.u.
* calculated total energy: -6.64 eV/atom
* calculated volume: 107.6 Å³ per cell


Repeat the first record exactly.
Compound: La3CuH
Source: Alexandria via LeMat-Bulk
Functional: GGA-PBEsol
Structure: optimized geometry

```
data_La3CuH
_cell_length_a 4.8842
_cell_length_b 4.8842
_cell_length_c 4.8842
_cell_angle_alpha 90.00
_cell_angle_beta 90.00
_cell_angle_gamma 90.00
_symmetry_space_group_name_H-M 'P m -3 m'
_symmetry_Int_Tables_number 221
_symmetry_space_group_name_Hall '-P 4 2 3'
loop_
_atom_site_label
_atom_site_type_symbol
_atom_site_fract_x
_atom_site_fract_y
_atom_site_fract_z
_atom_site_occupancy
La1 La 0.0000 0.0000 0.5000 1
Cu1 Cu 0.5000 0.5000 0.5000 1
H1 H 0.0000 0.0000 0.0000 1
```

Properties
* total moment: 0.00 μB per formula unit
* DOS at the Fermi energy: 6.8 states/eV/f.u.
* calculated total energy: -4.74 eV/atom
* calculated volume: 116.5 Å³ per cell